Below is a relaxed LiAg2Pb2 crystal, with properties calculated at the PBE level.

Total magnetic moment, μB per atom: 0.000
E above lowest polymorph, meV/atom: 132
Formation energy from the elements, eV/atom: 0.063
D(E_F), states/eV/cell: 4.531

a b c (Å): 3.852 3.852 16.529
angles (deg): 90.00 90.00 90.00
Space group I4/mmm (No. 139)
Unique sites:
Li1 0.000 0.000 0.000 (multiplicity 2)
Ag1 0.000 0.500 0.250 (multiplicity 4)
Pb1 0.000 0.000 0.397 (multiplicity 4)